## CuAu3 (GGA-PBEsol)

Data for an optimized crystal structure of CuAu3.

Geometry as CIF:
```
data_CuAu3
_chemical_formula_sum 'Cu3 Au9'
_space_group_name_H-M_alt 'R -3 m'
_space_group_IT_number 166
_space_group_name_Hall '-R 3 2"'
_cell_length_a 8.8958
_cell_length_b 8.8958
_cell_length_c 2.7794
_cell_angle_alpha 90.00
_cell_angle_beta 90.00
_cell_angle_gamma 120.00
loop_
_atom_site_label
_atom_site_type_symbol
_atom_site_fract_x
_atom_site_fract_y
_atom_site_fract_z
Cu1 Cu 0.0000 0.0000 0.0000
Au1 Au 0.0000 0.5000 0.0000
```

Energy (eV/atom): -3.9752

## Cu4Au (GGA-PBEsol)

Data for an optimized crystal structure of Cu4Au.

Geometry as CIF:
```
data_Cu4Au
_chemical_formula_sum 'Cu12 Au3'
_space_group_name_H-M_alt 'R -3 m'
_space_group_IT_number 166
_space_group_name_Hall '-R 3 2"'
_cell_length_a 2.6628
_cell_length_b 2.6628
_cell_length_c 31.1594
_cell_angle_alpha 90.00
_cell_angle_beta 90.00
_cell_angle_gamma 120.00
loop_
_atom_site_label
_atom_site_type_symbol
_atom_site_fract_x
_atom_site_fract_y
_atom_site_fract_z
Cu1 Cu 0.0000 0.0000 0.0944
Cu2 Cu 0.0000 0.0000 0.3017
Au1 Au 0.0000 0.0000 0.5000
```

Energy (eV/atom): -4.1834

## Cu3Au (GGA-PBEsol)

Data for an optimized crystal structure of Cu3Au.

Geometry as CIF:
```
data_Cu3Au
_chemical_formula_sum 'Cu6 Au2'
_space_group_name_H-M_alt 'C 1 2/m 1'
_space_group_IT_number 12
_space_group_name_Hall '-C 2y'
_cell_length_a 8.6197
_cell_length_b 2.6809
_cell_length_c 4.5375
_cell_angle_alpha 90.00
_cell_angle_beta 101.03
_cell_angle_gamma 90.00
loop_
_atom_site_label
_atom_site_type_symbol
_atom_site_fract_x
_atom_site_fract_y
_atom_site_fract_z
Cu1 Cu 0.0000 0.0000 0.0000
Cu2 Cu 0.2456 0.5000 0.2353
Au1 Au 0.0000 0.5000 0.5000
```

Energy (eV/atom): -4.2328

## CuAu5 (GGA-PBEsol)

Data for an optimized crystal structure of CuAu5.

Geometry as CIF:
```
data_CuAu5
_chemical_formula_sum 'Cu2 Au10'
_space_group_name_H-M_alt 'A m m 2'
_space_group_IT_number 38
_space_group_name_Hall 'A 2 -2'
_cell_length_a 4.6929
_cell_length_b 2.8494
_cell_length_c 14.5297
_cell_angle_alpha 90.00
_cell_angle_beta 90.00
_cell_angle_gamma 90.00
loop_
_atom_site_label
_atom_site_type_symbol
_atom_site_fract_x
_atom_site_fract_y
_atom_site_fract_z
Cu1 Cu 0.0000 0.0000 0.0000
Au1 Au 0.0000 0.0000 0.3404
Au2 Au 0.0000 0.0000 0.6598
Au3 Au 0.5000 0.0000 0.1109
Au4 Au 0.5000 0.0000 0.4484
Au5 Au 0.5000 0.0000 0.7793
```

Energy (eV/atom): -3.9812

## CuAu2 (GGA-PBEsol)

Data for an optimized crystal structure of CuAu2.

Geometry as CIF:
```
data_CuAu2
_chemical_formula_sum 'Cu4 Au8'
_space_group_name_H-M_alt 'I 41/a m d'
_space_group_IT_number 141
_cell_length_a 2.7719
_cell_length_b 2.7719
_cell_length_c 24.4134
_cell_angle_alpha 90.00
_cell_angle_beta 90.00
_cell_angle_gamma 90.00
loop_
_space_group_symop_operation_xyz
'x,y,z'
'-x,-y,-z'
'-y+1/4,x+3/4,z+1/4'
'y+1/4,-x+3/4,-z+1/4'
'-x+1/2,-y,z+1/2'
'x+1/2,y,-z+1/2'
'y+1/4,-x+1/4,z+3/4'
'-y+1/4,x+1/4,-z+3/4'
'x,-y,-z'
'-x,y,z'
'-y+1/4,-x+1/4,-z+3/4'
'y+1/4,x+1/4,z+3/4'
'-x+1/2,y,-z+1/2'
'x+1/2,-y,z+1/2'
'y+1/4,x+3/4,-z+1/4'
'-y+1/4,-x+3/4,z+1/4'
'x+1/2,y+1/2,z+1/2'
'-x+1/2,-y+1/2,-z+1/2'
'-y+3/4,x+1/4,z+3/4'
'y+3/4,-x+1/4,-z+3/4'
'-x,-y+1/2,z'
'x,y+1/2,-z'
'y+3/4,-x+3/4,z+1/4'
'-y+3/4,x+3/4,-z+1/4'
'x+1/2,-y+1/2,-z+1/2'
'-x+1/2,y+1/2,z+1/2'
'-y+3/4,-x+3/4,-z+1/4'
'y+3/4,x+3/4,z+1/4'
'-x,y+1/2,-z'
'x,-y+1/2,z'
'y+3/4,x+1/4,-z+3/4'
'-y+3/4,-x+1/4,z+3/4'
loop_
_atom_site_label
_atom_site_type_symbol
_atom_site_fract_x
_atom_site_fract_y
_atom_site_fract_z
Cu1 Cu 0.0000 0.2500 0.3750
Au1 Au 0.0000 0.2500 0.8006
```

Energy (eV/atom): -4.0602

## Cu4Au (GGA-PBEsol)

Data for an optimized crystal structure of Cu4Au.

Geometry as CIF:
```
data_Cu4Au
_chemical_formula_sum 'Cu8 Au2'
_space_group_name_H-M_alt 'I m m m'
_space_group_IT_number 71
_space_group_name_Hall '-I 2 2'
_cell_length_a 2.6578
_cell_length_b 3.5321
_cell_length_c 13.3216
_cell_angle_alpha 90.00
_cell_angle_beta 90.00
_cell_angle_gamma 90.00
loop_
_atom_site_label
_atom_site_type_symbol
_atom_site_fract_x
_atom_site_fract_y
_atom_site_fract_z
Cu1 Cu 0.0000 0.0000 0.1109
Cu2 Cu 0.0000 0.0000 0.2970
Au1 Au 0.0000 0.0000 0.5000
```

Energy (eV/atom): -4.2602

## CuAu2 (GGA-PBEsol)

Data for an optimized crystal structure of CuAu2.

Geometry as CIF:
```
data_CuAu2
_chemical_formula_sum 'Cu2 Au4'
_space_group_name_H-M_alt 'P 63/m m c'
_space_group_IT_number 194
_space_group_name_Hall '-P 6c 2c'
_cell_length_a 4.4349
_cell_length_b 4.4349
_cell_length_c 5.3925
_cell_angle_alpha 90.00
_cell_angle_beta 90.00
_cell_angle_gamma 120.00
loop_
_atom_site_label
_atom_site_type_symbol
_atom_site_fract_x
_atom_site_fract_y
_atom_site_fract_z
Cu1 Cu 0.3333 0.6667 0.2500
Au1 Au 0.0000 0.0000 0.0000
Au2 Au 0.3333 0.6667 0.7500
```

Energy (eV/atom): -4.0533

## CuAu3 (GGA-PBEsol)

Data for an optimized crystal structure of CuAu3.

Geometry as CIF:
```
data_CuAu3
_chemical_formula_sum 'Cu2 Au6'
_space_group_name_H-M_alt 'P m m n'
_space_group_IT_number 59
_cell_length_a 4.6289
_cell_length_b 5.5485
_cell_length_c 4.8918
_cell_angle_alpha 90.00
_cell_angle_beta 90.00
_cell_angle_gamma 90.00
loop_
_space_group_symop_operation_xyz
'x,y,z'
'-x,-y,-z'
'-x+1/2,-y+1/2,z'
'x+1/2,y+1/2,-z'
'x+1/2,-y,-z'
'-x+1/2,y,z'
'-x,y+1/2,-z'
'x,-y+1/2,z'
loop_
_atom_site_label
_atom_site_type_symbol
_atom_site_fract_x
_atom_site_fract_y
_atom_site_fract_z
Cu1 Cu 0.2500 0.2500 0.1660
Au1 Au 0.2500 0.0010 0.6663
Au2 Au 0.2500 0.7500 0.1554
```

Energy (eV/atom): -4.0358

## Cu3Au (GGA-PBEsol)

Data for an optimized crystal structure of Cu3Au.

Geometry as CIF:
```
data_Cu3Au
_chemical_formula_sum 'Cu12 Au4'
_space_group_name_H-M_alt 'P n m a'
_space_group_IT_number 62
_space_group_name_Hall '-P 2ac 2n'
_cell_length_a 4.6048
_cell_length_b 8.4624
_cell_length_c 5.2886
_cell_angle_alpha 90.00
_cell_angle_beta 90.00
_cell_angle_gamma 90.00
loop_
_atom_site_label
_atom_site_type_symbol
_atom_site_fract_x
_atom_site_fract_y
_atom_site_fract_z
Cu1 Cu 0.0784 0.2500 0.1220
Cu2 Cu 0.2364 0.5033 0.8659
Au1 Au 0.0743 0.2500 0.6076
```

Energy (eV/atom): -4.2272

## CuAu5 (GGA-PBEsol)

Data for an optimized crystal structure of CuAu5.

Geometry as CIF:
```
data_CuAu5
_chemical_formula_sum 'Cu2 Au10'
_space_group_name_H-M_alt 'C m m m'
_space_group_IT_number 65
_space_group_name_Hall '-C 2 2'
_cell_length_a 3.9561
_cell_length_b 12.0520
_cell_length_c 4.0623
_cell_angle_alpha 90.00
_cell_angle_beta 90.00
_cell_angle_gamma 90.00
loop_
_atom_site_label
_atom_site_type_symbol
_atom_site_fract_x
_atom_site_fract_y
_atom_site_fract_z
Cu1 Cu 0.0000 0.0000 0.0000
Au1 Au 0.0000 0.1636 0.5000
Au2 Au 0.0000 0.3392 0.0000
Au3 Au 0.0000 0.5000 0.5000
```

Energy (eV/atom): -4.0042

## Cu3Au4 (GGA-PBEsol)

Data for an optimized crystal structure of Cu3Au4.

Geometry as CIF:
```
data_Cu3Au4
_chemical_formula_sum 'Cu6 Au8'
_space_group_name_H-M_alt 'I 4/m m m'
_space_group_IT_number 139
_space_group_name_Hall '-I 4 2'
_cell_length_a 2.8974
_cell_length_b 2.8974
_cell_length_c 24.2965
_cell_angle_alpha 90.00
_cell_angle_beta 90.00
_cell_angle_gamma 90.00
loop_
_atom_site_label
_atom_site_type_symbol
_atom_site_fract_x
_atom_site_fract_y
_atom_site_fract_z
Cu1 Cu 0.0000 0.0000 0.0000
Cu2 Cu 0.0000 0.0000 0.2777
Au1 Au 0.0000 0.0000 0.1539
Au2 Au 0.0000 0.0000 0.4309
```

Energy (eV/atom): -4.1248

## Cu4Au (GGA-PBEsol)

Data for an optimized crystal structure of Cu4Au.

Geometry as CIF:
```
data_Cu4Au
_chemical_formula_sum 'Cu8 Au2'
_space_group_name_H-M_alt 'I 4/m'
_space_group_IT_number 87
_space_group_name_Hall '-I 4'
_cell_length_a 5.8424
_cell_length_b 5.8424
_cell_length_c 3.6601
_cell_angle_alpha 90.00
_cell_angle_beta 90.00
_cell_angle_gamma 90.00
loop_
_atom_site_label
_atom_site_type_symbol
_atom_site_fract_x
_atom_site_fract_y
_atom_site_fract_z
Cu1 Cu 0.0954 0.3064 0.0000
Au1 Au 0.0000 0.0000 0.5000
```

Energy (eV/atom): -4.2758

| no. | size of the total moment (μB per atom) | formation enthalpy at 0 K (eV per atom) |
| --- | --- | --- |
| 1 | 0.00 | 0.051 |
| 2 | 0.00 | 0.069 |
| 3 | 0.00 | -0.001 |
| 4 | 0.00 | 0.011 |
| 5 | 0.00 | 0.001 |
| 6 | 0.00 | -0.008 |
| 7 | 0.00 | 0.007 |
| 8 | 0.00 | -0.009 |
| 9 | 0.00 | 0.004 |
| 10 | 0.00 | -0.012 |
| 11 | 0.00 | -0.025 |
| 12 | 0.00 | -0.024 |